Entry 1:
SrBeF3 | PBE | relaxed Values from VASP.

Results
Space-group type: No. 221
Uncorrected energy in eV for the cell shown: -20.930
Distance to the lowest polymorph of the same formula in eV/atom: 0.515
Formation energy (no corrections) in kJ/mol of atoms: -191.2

Structure (Quantum ESPRESSO input):
```
&SYSTEM
  ibrav = 0, nat = 5, ntyp = 3
/
ATOMIC_SPECIES
Sr 87.62 Sr.upf
Be 9.01 Be.upf
F 19.00 F.upf
ATOMIC_POSITIONS crystal
Sr 0.000 0.000 0.000
Be 0.500 0.500 0.500
F 0.000 0.000 0.500
F 0.000 0.500 0.000
F 0.500 0.000 0.000
CELL_PARAMETERS angstrom
4.710 0.000 0.000
0.000 4.710 0.000
0.000 0.000 4.710
```

---

Entry 2:
LiEr2Mg8 | PBE | relaxed Values from VASP.

Results
Formation enthalpy at 0 K in eV per atom: -0.03
Space-group type: No. 12
Uncorrected energy in eV for the cell shown: -24.085
Distance to the lowest polymorph of the same formula in eV/atom: 0.000

Structure (Quantum ESPRESSO input):
```
&SYSTEM
  ibrav = 0, nat = 11, ntyp = 3
/
ATOMIC_SPECIES
Li 6.94 Li.upf
Er 167.26 Er.upf
Mg 24.30 Mg.upf
ATOMIC_POSITIONS crystal
Li 0.000 0.000 0.000
Er 0.280 0.280 0.349
Er 0.720 0.720 0.651
Mg 0.090 0.090 0.435
Mg 0.163 0.163 0.891
Mg 0.353 0.353 0.846
Mg 0.471 0.471 0.267
Mg 0.529 0.529 0.733
Mg 0.647 0.647 0.154
Mg 0.837 0.837 0.109
Mg 0.910 0.910 0.565
CELL_PARAMETERS angstrom
8.148 -2.456 0.000
8.148 2.456 0.000
-1.350 0.000 6.596
```

---

Entry 3:
KNb2O5 | PBE | relaxed Values from VASP.

Results
Space-group type: No. 63
Uncorrected energy in eV for the cell shown: -130.147
Distance to the lowest polymorph of the same formula in eV/atom: 0.019
Formation energy (no corrections) in kJ/mol of atoms: -229.7

Structure (Quantum ESPRESSO input):
```
&SYSTEM
  ibrav = 0, nat = 16, ntyp = 3
/
ATOMIC_SPECIES
K 39.10 K.upf
Nb 92.91 Nb.upf
O 16.00 O.upf
ATOMIC_POSITIONS crystal
K 0.098 0.902 0.750
K 0.902 0.098 0.250
Nb 0.369 0.631 0.568
Nb 0.369 0.631 0.932
Nb 0.631 0.369 0.068
Nb 0.631 0.369 0.432
O 0.182 0.818 0.042
O 0.182 0.818 0.458
O 0.336 0.664 0.750
O 0.461 0.539 0.105
O 0.461 0.539 0.395
O 0.539 0.461 0.605
O 0.539 0.461 0.895
O 0.664 0.336 0.250
O 0.818 0.182 0.542
O 0.818 0.182 0.958
CELL_PARAMETERS angstrom
1.931 -5.515 0.000
1.931 5.515 0.000
0.000 0.000 10.794
```